1.
Sr5SnBr5 | PBE | relaxed

Calculated values
density = 3.8 g cm⁻³
V = 37.90 Å³ per atom
DOS(E_F) = 7.90 states/eV/cell
formation energy without anion corrections = -17.108 eV per formula unit
raw total energy = -3.44 eV/atom

Geometry as CIF:
```
data_Sr5SnBr5
_symmetry_space_group_name_H-M 'C 1 2/m 1'
_symmetry_Int_Tables_number 12
_cell_length_a 14.728
_cell_length_b 6.452
_cell_length_c 9.239
_cell_angle_alpha 90.00
_cell_angle_beta 108.27
_cell_angle_gamma 90.00
loop_
_symmetry_equiv_pos_as_xyz
'x,y,z'
'-x,-y,-z'
'-x,y,-z'
'x,-y,z'
'x+1/2,y+1/2,z'
'-x+1/2,-y+1/2,-z'
'-x+1/2,y+1/2,-z'
'x+1/2,-y+1/2,z'
loop_
_atom_site_label
_atom_site_type_symbol
_atom_site_fract_x
_atom_site_fract_y
_atom_site_fract_z
Sr1 Sr 0.000 0.000 0.000
Sr2 Sr 0.157 0.500 0.325
Sr3 Sr 0.159 0.500 0.834
Sn1 Sn 0.000 0.500 0.000
Br1 Br 0.000 0.500 0.500
Br2 Br 0.175 0.000 0.835
Br3 Br 0.184 0.000 0.343
```


2.
OsRh2Cl | PBE | relaxed

Calculated values
density = 10.9 g cm⁻³
excess energy over the best structure of this formula in the dataset = 94 meV/atom
V = 16.48 Å³ per atom
DOS(E_F) = 4.93 states/eV/cell
formation energy without anion corrections = 1.503 eV per formula unit
raw total energy = -6.57 eV/atom

Geometry as CIF:
```
data_OsRh2Cl
_symmetry_space_group_name_H-M 'P m m m'
_symmetry_Int_Tables_number 47
_cell_length_a 2.823
_cell_length_b 3.513
_cell_length_c 6.645
_cell_angle_alpha 90.00
_cell_angle_beta 90.00
_cell_angle_gamma 90.00
loop_
_symmetry_equiv_pos_as_xyz
'x,y,z'
'-x,-y,-z'
'-x,-y,z'
'x,y,-z'
'x,-y,-z'
'-x,y,z'
'-x,y,-z'
'x,-y,z'
loop_
_atom_site_label
_atom_site_type_symbol
_atom_site_fract_x
_atom_site_fract_y
_atom_site_fract_z
Os1 Os 0.000 0.000 0.000
Rh1 Rh 0.500 0.500 0.203
Cl1 Cl 0.500 0.000 0.500
```


3.
HfBe17Fe | PBE | relaxed

Calculated values
density = 3.9 g cm⁻³
formation energy from the elements = -0.122 eV per atom
V = 8.79 Å³ per atom
DOS(E_F) = 16.50 states/eV/cell
raw total energy = -4.43 eV/atom

Geometry as CIF:
```
data_HfBe17Fe
_symmetry_space_group_name_H-M 'R 3 m'
_symmetry_Int_Tables_number 160
_symmetry_space_group_name_Hall 'R 3 -2"'
_cell_length_a 7.3457
_cell_length_b 7.3457
_cell_length_c 10.7245
_cell_angle_alpha 90.00
_cell_angle_beta 90.00
_cell_angle_gamma 120.00
loop_
_atom_site_label
_atom_site_type_symbol
_atom_site_fract_x
_atom_site_fract_y
_atom_site_fract_z
Hf1 Hf 0.0000 0.0000 0.0000
Be1 Be 0.0000 0.0000 0.5571
Be2 Be 0.0000 0.0000 0.7557
Be3 Be 0.0389 0.3654 0.3270
Be4 Be 0.1697 0.3395 0.1460
Be5 Be 0.1711 0.3422 0.4968
Be6 Be 0.1721 0.3442 0.8383
Fe1 Fe 0.0000 0.0000 0.3260
```


4.
Ho4Al2Tl | PBE | relaxed

Calculated values
density = 8.0 g cm⁻³
formation energy from the elements = -0.107 eV per atom
excess energy over the best structure of this formula in the dataset = 101 meV/atom
V = 27.18 Å³ per atom
DOS(E_F) = 10.65 states/eV/cell
raw total energy = -4.13 eV/atom

Geometry as CIF:
```
data_Ho4Al2Tl
_symmetry_space_group_name_H-M 'P 1 21/m 1'
_symmetry_Int_Tables_number 11
_cell_length_a 7.106
_cell_length_b 6.646
_cell_length_c 8.661
_cell_angle_alpha 90.00
_cell_angle_beta 111.52
_cell_angle_gamma 90.00
loop_
_symmetry_equiv_pos_as_xyz
'x,y,z'
'-x,-y,-z'
'-x,y+1/2,-z'
'x,-y+1/2,z'
loop_
_atom_site_label
_atom_site_type_symbol
_atom_site_fract_x
_atom_site_fract_y
_atom_site_fract_z
Ho1 Ho 0.043 0.250 0.410
Ho2 Ho 0.090 0.750 0.260
Ho3 Ho 0.400 0.013 0.766
Al1 Al 0.216 0.750 0.964
Al2 Al 0.493 0.250 0.479
Tl1 Tl 0.210 0.250 0.100
```


5.
ZrFeSn3 | PBE | relaxed

Calculated values
density = 6.8 g cm⁻³
formation energy from the elements = 0.455 eV per atom
V = 24.63 Å³ per atom
DOS(E_F) = 11.33 states/eV/cell
raw total energy = -5.35 eV/atom

Geometry as CIF:
```
data_ZrFeSn3
_symmetry_space_group_name_H-M 'P m -3 m'
_symmetry_Int_Tables_number 221
_symmetry_space_group_name_Hall '-P 4 2 3'
_cell_length_a 4.975
_cell_length_b 4.975
_cell_length_c 4.975
_cell_angle_alpha 90.00
_cell_angle_beta 90.00
_cell_angle_gamma 90.00
loop_
_atom_site_label
_atom_site_type_symbol
_atom_site_fract_x
_atom_site_fract_y
_atom_site_fract_z
Zr1 Zr 0.000 0.000 0.000
Fe1 Fe 0.500 0.500 0.500
Sn1 Sn 0.000 0.500 0.500
```


6.
Ti2FeCo | PBE | relaxed

Calculated values
density = 6.1 g cm⁻³
formation energy from the elements = 0.401 eV per atom
V = 14.26 Å³ per atom
DOS(E_F) = 6.88 states/eV/cell
raw total energy = -7.44 eV/atom

Geometry as CIF:
```
data_Ti2FeCo
_symmetry_space_group_name_H-M 'I m m m'
_symmetry_Int_Tables_number 71
_symmetry_space_group_name_Hall '-I 2 2'
_cell_length_a 2.648
_cell_length_b 4.573
_cell_length_c 9.416
_cell_angle_alpha 90.00
_cell_angle_beta 90.00
_cell_angle_gamma 90.00
loop_
_atom_site_label
_atom_site_type_symbol
_atom_site_fract_x
_atom_site_fract_y
_atom_site_fract_z
Ti1 Ti 0.000 0.000 0.241
Fe1 Fe 0.000 0.000 0.500
Co1 Co 0.000 0.000 0.000
```


7.
PmHfIrPt | PBE | relaxed

Calculated values
density = 14.7 g cm⁻³
formation energy from the elements = -0.756 eV per atom
V = 20.12 Å³ per atom
DOS(E_F) = 18.91 states/eV/cell
raw total energy = -8.16 eV/atom

Geometry as CIF:
```
data_PmHfIrPt
_symmetry_space_group_name_H-M 'F -4 3 m'
_symmetry_Int_Tables_number 216
_symmetry_space_group_name_Hall 'F -4 2 3'
_cell_length_a 6.853
_cell_length_b 6.853
_cell_length_c 6.853
_cell_angle_alpha 90.00
_cell_angle_beta 90.00
_cell_angle_gamma 90.00
loop_
_atom_site_label
_atom_site_type_symbol
_atom_site_fract_x
_atom_site_fract_y
_atom_site_fract_z
Pm1 Pm 0.000 0.000 0.000
Hf1 Hf 0.000 0.000 0.500
Ir1 Ir 0.250 0.250 0.250
Pt1 Pt 0.250 0.250 0.750
```


8.
Ca3MgCu3 | PBE | relaxed

Calculated values
density = 3.4 g cm⁻³
formation energy from the elements = -0.141 eV per atom
excess energy over the best structure of this formula in the dataset = 0 meV/atom
V = 23.52 Å³ per atom
DOS(E_F) = 14.98 states/eV/cell
raw total energy = -2.98 eV/atom

Geometry as CIF:
```
data_Ca3MgCu3
_symmetry_space_group_name_H-M 'C m c m'
_symmetry_Int_Tables_number 63
_symmetry_space_group_name_Hall '-C 2c 2'
_cell_length_a 4.183
_cell_length_b 10.942
_cell_length_c 14.392
_cell_angle_alpha 90.00
_cell_angle_beta 90.00
_cell_angle_gamma 90.00
loop_
_atom_site_label
_atom_site_type_symbol
_atom_site_fract_x
_atom_site_fract_y
_atom_site_fract_z
Ca1 Ca 0.000 0.013 0.250
Ca2 Ca 0.000 0.295 0.106
Mg1 Mg 0.000 0.000 0.000
Cu1 Cu 0.000 0.288 0.750
Cu2 Cu 0.000 0.410 0.601
```


9.
DyZrCd | PBE | relaxed

Calculated values
density = 7.2 g cm⁻³
formation energy from the elements = 0.032 eV per atom
excess energy over the best structure of this formula in the dataset = 158 meV/atom
V = 28.08 Å³ per atom
DOS(E_F) = 12.98 states/eV/cell
raw total energy = -4.66 eV/atom

Geometry as CIF:
```
data_DyZrCd
_symmetry_space_group_name_H-M 'I 4/m m m'
_symmetry_Int_Tables_number 139
_symmetry_space_group_name_Hall '-I 4 2'
_cell_length_a 3.775
_cell_length_b 3.775
_cell_length_c 23.643
_cell_angle_alpha 90.00
_cell_angle_beta 90.00
_cell_angle_gamma 90.00
loop_
_atom_site_label
_atom_site_type_symbol
_atom_site_fract_x
_atom_site_fract_y
_atom_site_fract_z
Dy1 Dy 0.000 0.000 0.140
Zr1 Zr 0.000 0.000 0.277
Cd1 Cd 0.000 0.000 0.441
```


10.
BaLaBe2 | PBE | relaxed

Calculated values
density = 4.8 g cm⁻³
formation energy from the elements = 0.688 eV per atom
excess energy over the best structure of this formula in the dataset = 434 meV/atom
V = 25.21 Å³ per atom
DOS(E_F) = 9.42 states/eV/cell
raw total energy = -2.89 eV/atom

Geometry as CIF:
```
data_BaLaBe2
_symmetry_space_group_name_H-M 'I -4 m 2'
_symmetry_Int_Tables_number 119
_symmetry_space_group_name_Hall 'I -4 -2'
_cell_length_a 4.436
_cell_length_b 4.436
_cell_length_c 10.250
_cell_angle_alpha 90.00
_cell_angle_beta 90.00
_cell_angle_gamma 90.00
loop_
_atom_site_label
_atom_site_type_symbol
_atom_site_fract_x
_atom_site_fract_y
_atom_site_fract_z
Ba1 Ba 0.000 0.000 0.000
La1 La 0.000 0.500 0.250
Be1 Be 0.000 0.000 0.500
Be2 Be 0.000 0.500 0.750
```


11.
ScAlRh | PBE | relaxed

Calculated values
density = 5.0 g cm⁻³
formation energy from the elements = -0.694 eV per atom
V = 19.31 Å³ per atom
DOS(E_F) = 4.85 states/eV/cell
raw total energy = -6.50 eV/atom

Geometry as CIF:
```
data_ScAlRh
_symmetry_space_group_name_H-M 'F -4 3 m'
_symmetry_Int_Tables_number 216
_symmetry_space_group_name_Hall 'F -4 2 3'
_cell_length_a 6.142
_cell_length_b 6.142
_cell_length_c 6.142
_cell_angle_alpha 90.00
_cell_angle_beta 90.00
_cell_angle_gamma 90.00
loop_
_atom_site_label
_atom_site_type_symbol
_atom_site_fract_x
_atom_site_fract_y
_atom_site_fract_z
Sc1 Sc 0.000 0.000 0.000
Al1 Al 0.000 0.000 0.500
Rh1 Rh 0.250 0.250 0.750
```


12.
CaCd2Cu | PBE | relaxed

Calculated values
density = 6.1 g cm⁻³
formation energy from the elements = -0.105 eV per atom
V = 22.46 Å³ per atom
DOS(E_F) = 3.81 states/eV/cell
raw total energy = -2.09 eV/atom

Geometry as CIF:
```
data_CaCd2Cu
_symmetry_space_group_name_H-M 'C 1 2/m 1'
_symmetry_Int_Tables_number 12
_cell_length_a 10.369
_cell_length_b 3.851
_cell_length_c 5.055
_cell_angle_alpha 90.00
_cell_angle_beta 117.10
_cell_angle_gamma 90.00
loop_
_symmetry_equiv_pos_as_xyz
'x,y,z'
'-x,-y,-z'
'-x,y,-z'
'x,-y,z'
'x+1/2,y+1/2,z'
'-x+1/2,-y+1/2,-z'
'-x+1/2,y+1/2,-z'
'x+1/2,-y+1/2,z'
loop_
_atom_site_label
_atom_site_type_symbol
_atom_site_fract_x
_atom_site_fract_y
_atom_site_fract_z
Ca1 Ca 0.000 0.000 0.000
Cd1 Cd 0.216 0.000 0.711
Cu1 Cu 0.000 0.500 0.500
```


13.
NaCd3 | PBE | relaxed

Calculated values
density = 6.4 g cm⁻³
formation energy from the elements = -0.075 eV per atom
V = 23.31 Å³ per atom
DOS(E_F) = 3.21 states/eV/cell
raw total energy = -1.09 eV/atom

Geometry as CIF:
```
data_NaCd3
_symmetry_space_group_name_H-M 'P 63/m m c'
_symmetry_Int_Tables_number 194
_symmetry_space_group_name_Hall '-P 6c 2c'
_cell_length_a 6.5385
_cell_length_b 6.5385
_cell_length_c 5.0359
_cell_angle_alpha 90.00
_cell_angle_beta 90.00
_cell_angle_gamma 120.00
loop_
_atom_site_label
_atom_site_type_symbol
_atom_site_fract_x
_atom_site_fract_y
_atom_site_fract_z
Na1 Na 0.3333 0.6667 0.2500
Cd1 Cd 0.1653 0.3305 0.7500
```


14.
FeOs3 | PBE | relaxed

Calculated values
density = 19.0 g cm⁻³
formation energy from the elements = 0.159 eV per atom
V = 13.71 Å³ per atom
DOS(E_F) = 9.22 states/eV/cell
raw total energy = -10.38 eV/atom

Geometry as CIF:
```
data_FeOs3
_symmetry_space_group_name_H-M 'C 1 2/m 1'
_symmetry_Int_Tables_number 12
_cell_length_a 8.891
_cell_length_b 2.703
_cell_length_c 4.634
_cell_angle_alpha 90.00
_cell_angle_beta 100.02
_cell_angle_gamma 90.00
loop_
_symmetry_equiv_pos_as_xyz
'x,y,z'
'-x,-y,-z'
'-x,y,-z'
'x,-y,z'
'x+1/2,y+1/2,z'
'-x+1/2,-y+1/2,-z'
'-x+1/2,y+1/2,-z'
'x+1/2,-y+1/2,z'
loop_
_atom_site_label
_atom_site_type_symbol
_atom_site_fract_x
_atom_site_fract_y
_atom_site_fract_z
Fe1 Fe 0.000 0.000 0.000
Os1 Os 0.000 0.500 0.500
Os2 Os 0.249 0.000 0.755
```


15.
Hf2CdI | PBE | relaxed

Calculated values
density = 9.7 g cm⁻³
excess energy over the best structure of this formula in the dataset = 161 meV/atom
V = 25.51 Å³ per atom
DOS(E_F) = 17.20 states/eV/cell
formation energy without anion corrections = 1.999 eV per formula unit
raw total energy = -5.09 eV/atom

Geometry as CIF:
```
data_Hf2CdI
_symmetry_space_group_name_H-M 'I -4 2 d'
_symmetry_Int_Tables_number 122
_symmetry_space_group_name_Hall 'I -4 2bw'
_cell_length_a 4.375
_cell_length_b 4.375
_cell_length_c 21.327
_cell_angle_alpha 90.00
_cell_angle_beta 90.00
_cell_angle_gamma 90.00
loop_
_atom_site_label
_atom_site_type_symbol
_atom_site_fract_x
_atom_site_fract_y
_atom_site_fract_z
Hf1 Hf 0.245 0.250 0.125
Cd1 Cd 0.000 0.000 0.000
I1 I 0.000 0.000 0.500
```


16.
NiAs2AuSe | PBE | relaxed

Calculated values
density = 8.0 g cm⁻³
excess energy over the best structure of this formula in the dataset = 0 meV/atom
V = 20.23 Å³ per atom
DOS(E_F) = 3.02 states/eV/cell
formation energy without anion corrections = 2.359 eV per formula unit
raw total energy = -3.90 eV/atom

Geometry as CIF:
```
data_NiAs2AuSe
_symmetry_space_group_name_H-M 'P 4/m m m'
_symmetry_Int_Tables_number 123
_symmetry_space_group_name_Hall '-P 4 2'
_cell_length_a 4.562
_cell_length_b 4.562
_cell_length_c 4.860
_cell_angle_alpha 90.00
_cell_angle_beta 90.00
_cell_angle_gamma 90.00
loop_
_atom_site_label
_atom_site_type_symbol
_atom_site_fract_x
_atom_site_fract_y
_atom_site_fract_z
Ni1 Ni 0.000 0.000 0.000
As1 As 0.000 0.500 0.000
Au1 Au 0.500 0.500 0.500
Se1 Se 0.000 0.000 0.500
```


17.
Tl2CdCuRe | PBE | relaxed

Calculated values
density = 8.5 g cm⁻³
formation energy from the elements = 1.148 eV per atom
V = 30.19 Å³ per atom
DOS(E_F) = 4.09 states/eV/cell
raw total energy = -3.29 eV/atom

Geometry as CIF:
```
data_Tl2CdCuRe
_symmetry_space_group_name_H-M 'P 4/m m m'
_symmetry_Int_Tables_number 123
_symmetry_space_group_name_Hall '-P 4 2'
_cell_length_a 5.320
_cell_length_b 5.320
_cell_length_c 5.334
_cell_angle_alpha 90.00
_cell_angle_beta 90.00
_cell_angle_gamma 90.00
loop_
_atom_site_label
_atom_site_type_symbol
_atom_site_fract_x
_atom_site_fract_y
_atom_site_fract_z
Tl1 Tl 0.000 0.500 0.000
Cd1 Cd 0.000 0.000 0.500
Cu1 Cu 0.500 0.500 0.500
Re1 Re 0.000 0.000 0.000
```


18.
Nd5Sm2Er12 | PBE | relaxed

Calculated values
density = 8.2 g cm⁻³
formation energy from the elements = 0.065 eV per atom
excess energy over the best structure of this formula in the dataset = 0 meV/atom
V = 32.36 Å³ per atom
DOS(E_F) = 29.01 states/eV/cell
raw total energy = -4.57 eV/atom

Geometry as CIF:
```
data_Nd5Sm2Er12
_symmetry_space_group_name_H-M 'P -1'
_symmetry_Int_Tables_number 2
_cell_length_a 6.283
_cell_length_b 9.029
_cell_length_c 10.958
_cell_angle_alpha 87.24
_cell_angle_beta 82.23
_cell_angle_gamma 87.74
loop_
_symmetry_equiv_pos_as_xyz
'x,y,z'
'-x,-y,-z'
loop_
_atom_site_label
_atom_site_type_symbol
_atom_site_fract_x
_atom_site_fract_y
_atom_site_fract_z
Nd1 Nd 0.000 0.000 0.000
Nd2 Nd 0.124 0.988 0.345
Nd3 Nd 0.270 0.555 0.944
Sm1 Sm 0.457 0.494 0.344
Er1 Er 0.016 0.340 0.768
Er2 Er 0.074 0.664 0.550
Er3 Er 0.184 0.294 0.160
Er4 Er 0.353 0.861 0.749
Er5 Er 0.400 0.174 0.554
Er6 Er 0.498 0.824 0.112
```


19.
Y4TaMo | PBE | relaxed

Calculated values
density = 6.9 g cm⁻³
formation energy from the elements = 1.116 eV per atom
V = 25.43 Å³ per atom
DOS(E_F) = 41.72 states/eV/cell
raw total energy = -6.97 eV/atom

Geometry as CIF:
```
data_Y4TaMo
_symmetry_space_group_name_H-M 'F -4 3 m'
_symmetry_Int_Tables_number 216
_symmetry_space_group_name_Hall 'F -4 2 3'
_cell_length_a 8.482
_cell_length_b 8.482
_cell_length_c 8.482
_cell_angle_alpha 90.00
_cell_angle_beta 90.00
_cell_angle_gamma 90.00
loop_
_atom_site_label
_atom_site_type_symbol
_atom_site_fract_x
_atom_site_fract_y
_atom_site_fract_z
Y1 Y 0.125 0.125 0.125
Ta1 Ta 0.000 0.000 0.500
Mo1 Mo 0.250 0.250 0.750
```


20.
Er3FeAu | PBE | relaxed

Calculated values
density = 10.6 g cm⁻³
formation energy from the elements = -0.392 eV per atom
V = 23.63 Å³ per atom
DOS(E_F) = 9.99 states/eV/cell
raw total energy = -5.48 eV/atom

Geometry as CIF:
```
data_Er3FeAu
_symmetry_space_group_name_H-M 'P 1 21/m 1'
_symmetry_Int_Tables_number 11
_cell_length_a 7.957
_cell_length_b 3.838
_cell_length_c 8.204
_cell_angle_alpha 90.00
_cell_angle_beta 109.42
_cell_angle_gamma 90.00
loop_
_symmetry_equiv_pos_as_xyz
'x,y,z'
'-x,-y,-z'
'-x,y+1/2,-z'
'x,-y+1/2,z'
loop_
_atom_site_label
_atom_site_type_symbol
_atom_site_fract_x
_atom_site_fract_y
_atom_site_fract_z
Er1 Er 0.072 0.250 0.227
Er2 Er 0.307 0.250 0.922
Er3 Er 0.340 0.750 0.582
Fe1 Fe 0.050 0.250 0.567
Au1 Au 0.359 0.750 0.207
```